Record 1
VASP calculation (PBE-GGA) on a geometry-optimized Al3Os2 structure.

Output
formation enthalpy at 0 K = -0.494 eV per atom
energy above the lowest structure with this stoichiometry = 0.000 eV per atom
total energy = -7.2319 eV/atom
V = 13.91 A^3/atom

abc: 7.4507 7.4507 7.4507
angles: 155.78 155.78 34.52
With the nearest neighbours (Å) after each atom.
Atoms (fractional coordinates):
Al  0.0000  0.0000  0.0000  8 Os 2.68, 2 Al 2.79
Al  0.1961  0.1961  0.0000  5 Os 2.55-2.80, 5 Al 2.69-2.79
Al  0.8039  0.8039  0.0000  5 Os 2.55-2.80, 5 Al 2.69-2.79
Os  0.6068  0.6068  0.0000  9 Al 2.55-2.80
Os  0.3932  0.3932  0.0000  9 Al 2.55-2.80


Record 2
VASP calculation (PBE-GGA) on a geometry-optimized HfHg2Ru structure.

Output
formation enthalpy at 0 K = 0.490 eV per atom
energy above the lowest structure with this stoichiometry = 0.287 eV per atom
total energy = -4.4684 eV/atom
V = 20.87 A^3/atom

abc: 7.8139 7.8139 6.1650
angles: 50.67 50.67 90.00
With the nearest neighbours (Å) after each atom.
Atoms (fractional coordinates):
Ru  0.5000  0.5000  0.0000  2 Hf 2.73, 4 Hg 2.73
Ru  0.2500  0.7500  0.5000  2 Hf 2.73, 4 Hg 2.73
Hf  0.0000  0.0000  0.0000  2 Ru 2.73, 4 Hg 2.96
Hf  0.7500  0.2500  0.5000  2 Ru 2.73, 4 Hg 2.96
Hg  0.3750  0.3962  0.7500  2 Ru 2.73, 2 Hg 2.75, 2 Hf 2.96
Hg  0.8750  0.8538  0.7500  2 Ru 2.73, 2 Hg 2.75, 2 Hf 2.96
Hg  0.6038  0.1250  0.2500  2 Ru 2.73, 2 Hg 2.75, 2 Hf 2.96
Hg  0.1462  0.6250  0.2500  2 Ru 2.73, 2 Hg 2.75, 2 Hf 2.96


Record 3
VASP calculation (PBE-GGA) on a geometry-optimized Rb2ThTe4Pd2 structure.

Output
energy relative to the elements, uncorrected = -895 meV per atom
total energy = -4.4844 eV/atom
V = 33.35 A^3/atom

abc: 4.4310 8.8393 8.3314
angles: 106.77 105.42 90.00
With the nearest neighbours (Å) after each atom.
Atoms (fractional coordinates):
Te  0.7962  0.8284  0.5925  3 Pd 2.69-2.74
Te  0.4864  0.2449  0.9728  1 Pd 2.80
Te  0.5136  0.7551  0.0272  1 Pd 2.80
Te  0.2038  0.1716  0.4075  3 Pd 2.69-2.74
Rb  0.8646  0.4327  0.7292  7 Te 3.65-3.97
Rb  0.1354  0.5673  0.2708  7 Te 3.65-3.97
Th  0.0000  0.0000  0.0000  6 Te 3.15-3.17
Pd  0.6751  0.9910  0.3503  4 Te 2.69-2.80
Pd  0.3249  0.0090  0.6497  4 Te 2.69-2.80


Record 4
VASP calculation (PBE-GGA) on a geometry-optimized Sr2MgTl6Ag structure.

Output
formation enthalpy at 0 K = -0.008 eV per atom
total energy = -2.2088 eV/atom
V = 33.69 A^3/atom

abc: 7.8316 7.8218 7.4704
angles: 61.32 61.26 89.56
With the nearest neighbours (Å) after each atom.
Atoms (fractional coordinates):
Tl  0.7504  0.7503  0.9996  1 Ag 2.78, 1 Mg 2.78
Tl  0.7497  0.2504  0.0000  1 Mg 2.75, 1 Ag 2.76
Tl  0.2496  0.2497  0.0004  1 Ag 2.78, 1 Mg 2.78
Tl  0.2509  0.2509  0.4997  1 Mg 2.76, 1 Ag 2.76
Tl  0.7491  0.7491  0.5003  1 Mg 2.76, 1 Ag 2.76
Tl  0.2503  0.7496  0.0000  1 Mg 2.75, 1 Ag 2.76
Mg  0.5000  0.5000  0.0000  6 Tl 2.75-2.78
Ag  0.0000  0.0000  0.0000  6 Tl 2.76-2.78
Sr  0.7489  0.2511  0.5000  12 Tl 3.74-4.09
Sr  0.2511  0.7489  0.5000  12 Tl 3.74-4.09


Record 5
VASP calculation (PBE-GGA) on a geometry-optimized NaCaAs4 structure.

Output
formation enthalpy at 0 K = -0.449 eV per atom
total energy = -4.1020 eV/atom
V = 25.59 A^3/atom

abc: 3.8622 4.2024 9.5250
angles: 83.30 90.01 90.00
With the nearest neighbours (Å) after each atom.
Atoms (fractional coordinates):
Na  0.5013  0.5027  0.0019  8 As 3.09-3.21
As  0.0013  0.5685  0.2628  2 As 2.53
As  0.5013  0.0473  0.7535  2 As 2.53
As  0.0013  0.4369  0.7409  2 As 2.53
As  0.5013  0.9581  0.2503  2 As 2.53
Ca  0.0013  0.0027  0.5019  8 As 3.08-3.10


Record 6
VASP calculation (PBE-GGA) on a geometry-optimized TcHPdRh2 structure.

Output
energy above the lowest structure with this stoichiometry = 0.000 eV per atom
total energy = -6.6141 eV/atom
V = 12.09 A^3/atom

abc: 3.9222 3.9222 3.9305
angles: 90.00 90.00 90.00
With the nearest neighbours (Å) after each atom.
Atoms (fractional coordinates):
Rh  0.0000  0.5000  0.0000  2 H 1.96
Rh  0.5000  0.0000  0.0000  2 H 1.96
Tc  0.0000  0.0000  0.5000  2 H 1.97
H  0.0000  0.0000  0.0000  4 Rh 1.96, 2 Tc 1.97
Pd  0.5000  0.5000  0.5000  4 Tc 2.77, 8 Rh 2.78


Record 7
VASP calculation (PBE-GGA) on a geometry-optimized SmHoTmCd structure.

Output
formation enthalpy at 0 K = -0.149 eV per atom
energy above the lowest structure with this stoichiometry = 0.000 eV per atom
total energy = -3.8196 eV/atom
V = 28.96 A^3/atom

abc: 3.5829 3.5829 9.0231
angles: 90.00 90.00 90.00
With the nearest neighbours (Å) after each atom.
Atoms (fractional coordinates):
Cd  0.0000  0.0000  0.5687  4 Tm 3.22, 4 Ho 3.25, 4 Cd 3.58
Ho  0.5000  0.5000  0.7948  4 Cd 3.25, 4 Sm 3.57, 4 Ho 3.58
Sm  0.0000  0.0000  0.0728  4 Tm 3.55, 4 Ho 3.57, 4 Sm 3.58
Tm  0.5000  0.5000  0.3484  4 Cd 3.22, 4 Sm 3.55, 4 Tm 3.58


Record 8
VASP calculation (PBE-GGA) on a geometry-optimized Ac3GeBi2Pd9 structure.

Output
formation enthalpy at 0 K = -0.473 eV per atom
total energy = -5.2354 eV/atom
V = 25.30 A^3/atom

abc: 7.0852 7.0852 8.7290
angles: 90.00 90.00 120.00
With the nearest neighbours (Å) after each atom.
Atoms (fractional coordinates):
Ac  0.0000  0.0000  0.0000  6 Pd 3.02
Ac  0.6667  0.3333  0.2881  9 Pd 3.24-3.57
Ac  0.3333  0.6667  0.7119  9 Pd 3.24-3.57
Bi  0.6667  0.3333  0.7914  6 Pd 2.58-2.74
Bi  0.3333  0.6667  0.2086  6 Pd 2.58-2.74
Pd  0.0000  0.5000  0.0000  2 Bi 2.74
Pd  0.8685  0.1315  0.7072  1 Ge 2.42, 1 Bi 2.58
Pd  0.7370  0.8685  0.2928  1 Ge 2.42, 1 Bi 2.58
Pd  0.5000  0.0000  0.0000  2 Bi 2.74
Pd  0.8685  0.7370  0.7072  1 Ge 2.42, 1 Bi 2.58
Pd  0.5000  0.5000  0.0000  2 Bi 2.74
Pd  0.1315  0.8685  0.2928  1 Ge 2.42, 1 Bi 2.58
Pd  0.2630  0.1315  0.7072  1 Ge 2.42, 1 Bi 2.58
Pd  0.1315  0.2630  0.2928  1 Ge 2.42, 1 Bi 2.58
Ge  0.0000  0.0000  0.5000  6 Pd 2.42


Record 9
VASP calculation (PBE-GGA) on a geometry-optimized CsTc3P structure.

Output
formation enthalpy at 0 K = 3.360 eV per atom
energy above the lowest structure with this stoichiometry = 2.200 eV per atom
total energy = -4.1118 eV/atom
V = 24.49 A^3/atom

abc: 4.9658 4.9658 4.9658
angles: 90.00 90.00 90.00
With the nearest neighbours (Å) after each atom.
Atoms (fractional coordinates):
Tc  0.0000  0.0000  0.5000  2 Cs 2.48
Tc  0.0000  0.5000  0.0000  2 Cs 2.48
Tc  0.5000  0.0000  0.0000  2 Cs 2.48
P  0.5000  0.5000  0.5000  12 Tc 3.51
Cs  0.0000  0.0000  0.0000  6 Tc 2.48


Record 10
VASP calculation (PBE-GGA) on a geometry-optimized Na4TlHg6 structure.

Output
formation enthalpy at 0 K = -0.140 eV per atom
total energy = -0.9991 eV/atom
V = 29.01 A^3/atom

abc: 6.6193 8.6569 6.6193
angles: 67.52 90.00 112.48
With the nearest neighbours (Å) after each atom.
Atoms (fractional coordinates):
Na  0.3877  0.3451  0.0426  5 Hg 3.10-3.45, 1 Tl 3.22
Na  0.0426  0.6549  0.9574  5 Hg 3.10-3.45, 1 Tl 3.22
Na  0.9574  0.3451  0.6123  5 Hg 3.10-3.45, 1 Tl 3.22
Na  0.6123  0.6549  0.3877  5 Hg 3.10-3.45, 1 Tl 3.22
Tl  0.0000  0.0000  0.0000  4 Na 3.22, 8 Hg 3.31-3.53
Hg  0.7859  0.2330  0.2141  3 Hg 2.99-3.17, 3 Na 3.10-3.21
Hg  0.5528  0.7670  0.7859  3 Hg 2.99-3.17, 3 Na 3.10-3.21
Hg  0.0000  0.0000  0.5000  4 Hg 2.99, 2 Tl 3.31
Hg  0.2141  0.7670  0.4472  3 Hg 2.99-3.17, 3 Na 3.10-3.21
Hg  0.5000  0.0000  0.0000  4 Hg 2.99, 2 Tl 3.31
Hg  0.4472  0.2330  0.5528  3 Hg 2.99-3.17, 3 Na 3.10-3.21


Record 11
VASP calculation (PBE-GGA) on a geometry-optimized Th5FePb2 structure.

Output
formation enthalpy at 0 K = -0.031 eV per atom
total energy = -6.6536 eV/atom
V = 31.24 A^3/atom

abc: 7.4679 7.4678 6.9272
angles: 122.63 122.63 89.98
With the nearest neighbours (Å) after each atom.
Atoms (fractional coordinates):
Pb  0.7571  0.2571  0.5142  10 Th 3.45-3.75
Pb  0.2571  0.7571  0.5142  10 Th 3.45-3.75
Th  0.2563  0.7641  0.0203  1 Fe 2.60
Th  0.7641  0.2563  0.0204  1 Fe 2.60
Th  0.7641  0.7641  0.0204  1 Fe 2.60
Th  0.7224  0.7224  0.4447  1 Fe 2.49
Th  0.2563  0.2563  0.0204  1 Fe 2.60
Fe  0.9997  0.9997  0.9995  5 Th 2.49-2.60


Record 12
VASP calculation (PBE-GGA) on a geometry-optimized Hg4MoOs structure.

Output
formation enthalpy at 0 K = 1.238 eV per atom
total energy = -2.6405 eV/atom
V = 20.11 A^3/atom

abc: 5.5466 5.5466 5.5466
angles: 60.00 60.00 60.00
With the nearest neighbours (Å) after each atom.
Atoms (fractional coordinates):
Hg  0.8755  0.3748  0.3748  6 Hg 2.77-2.78
Hg  0.3748  0.3748  0.8755  6 Hg 2.77-2.78
Hg  0.3748  0.3748  0.3748  6 Hg 2.77-2.78
Hg  0.3748  0.8755  0.3748  6 Hg 2.77-2.78
Mo  0.7500  0.7500  0.7500  12 Hg 3.25, 4 Os 3.40
Os  0.0000  0.0000  0.0000  12 Hg 3.25, 4 Mo 3.40